# 1
Crystalline CePuMg2N4 at its relaxed geometry. Source: Alexandria, functional PBE.

## Properties
- uncorrected formation energy (meV per atom) = -1026.7
- final energy (eV/atom) = -8.121
- total magnetization (Bohr magnetons per cell) = 4.00
- N(E_F) (states/eV/atom) = 0.940

```
CePuMg2N4
1.0
5.621 0.000 0.000
0.000 3.442 0.000
-2.164 0.000 5.555
Ce Pu Mg N
1 1 2 4
Direct
0.000 0.000 0.000 Ce
0.000 0.500 0.500 Pu
0.500 0.000 0.500 Mg
0.500 0.500 0.000 Mg
0.242 0.000 0.736 N
0.245 0.500 0.255 N
0.755 0.500 0.745 N
0.758 0.000 0.264 N
```

=====

# 2
Crystalline Cr2CdIr2 at its relaxed geometry. Source: Alexandria, functional PBE.

## Properties
- final energy (eV/atom) = -7.518
- total magnetization (Bohr magnetons per cell) = 0.00
- distance to the lowest polymorph of the same formula (eV/f.u.) = 0.064
- energy relative to the elements (eV per atom) = 0.06
- N(E_F) (states/eV/atom) = 0.726

```
Cr2CdIr2
1.0
7.416 0.000 0.000
0.000 7.416 0.000
0.000 0.000 2.716
Cr Cd Ir
4 2 4
Direct
0.113 0.387 0.000 Cr
0.387 0.887 0.000 Cr
0.613 0.113 0.000 Cr
0.887 0.613 0.000 Cr
0.000 0.000 0.000 Cd
0.500 0.500 0.000 Cd
0.170 0.670 0.500 Ir
0.330 0.170 0.500 Ir
0.670 0.830 0.500 Ir
0.830 0.330 0.500 Ir
```

=====

# 3
Crystalline Sm4ZnRh at its relaxed geometry. Source: Alexandria, functional PBE.

## Properties
- final energy (eV/atom) = -4.996
- total magnetization (Bohr magnetons per cell) = 0.00
- distance to the lowest polymorph of the same formula (eV/f.u.) = 0.000
- energy relative to the elements (eV per atom) = -0.41
- N(E_F) (states/eV/atom) = 0.611

```
Sm4ZnRh
1.0
0.000 6.848 6.848
6.848 0.000 6.848
6.848 6.848 0.000
Sm Zn Rh
16 4 4
Direct
0.187 0.187 0.813 Sm
0.187 0.813 0.187 Sm
0.187 0.813 0.813 Sm
0.397 0.397 0.397 Sm
0.397 0.397 0.809 Sm
0.397 0.809 0.397 Sm
0.558 0.558 0.942 Sm
0.558 0.942 0.558 Sm
0.558 0.942 0.942 Sm
0.809 0.397 0.397 Sm
0.813 0.187 0.187 Sm
0.813 0.187 0.813 Sm
0.813 0.813 0.187 Sm
0.942 0.558 0.558 Sm
0.942 0.558 0.942 Sm
0.942 0.942 0.558 Sm
0.171 0.171 0.171 Zn
0.171 0.171 0.486 Zn
0.171 0.486 0.171 Zn
0.486 0.171 0.171 Zn
0.179 0.607 0.607 Rh
0.607 0.179 0.607 Rh
0.607 0.607 0.179 Rh
0.607 0.607 0.607 Rh
```

=====

What is the formula in the first record?
CePuMg2N4

=====

Repeat the first record exactly.
Crystalline CePuMg2N4 at its relaxed geometry. Source: Alexandria, functional PBE.

## Properties
- uncorrected formation energy (meV per atom) = -1026.7
- final energy (eV/atom) = -8.121
- total magnetization (Bohr magnetons per cell) = 4.00
- N(E_F) (states/eV/atom) = 0.940

```
CePuMg2N4
1.0
5.621 0.000 0.000
0.000 3.442 0.000
-2.164 0.000 5.555
Ce Pu Mg N
1 1 2 4
Direct
0.000 0.000 0.000 Ce
0.000 0.500 0.500 Pu
0.500 0.000 0.500 Mg
0.500 0.500 0.000 Mg
0.242 0.000 0.736 N
0.245 0.500 0.255 N
0.755 0.500 0.745 N
0.758 0.000 0.264 N
```

=====

The highest N(E_F) belongs to which entry?
CePuMg2N4

=====

What did the third record say?
Crystalline Sm4ZnRh at its relaxed geometry. Source: Alexandria, functional PBE.

## Properties
- final energy (eV/atom) = -4.996
- total magnetization (Bohr magnetons per cell) = 0.00
- distance to the lowest polymorph of the same formula (eV/f.u.) = 0.000
- energy relative to the elements (eV per atom) = -0.41
- N(E_F) (states/eV/atom) = 0.611

```
Sm4ZnRh
1.0
0.000 6.848 6.848
6.848 0.000 6.848
6.848 6.848 0.000
Sm Zn Rh
16 4 4
Direct
0.187 0.187 0.813 Sm
0.187 0.813 0.187 Sm
0.187 0.813 0.813 Sm
0.397 0.397 0.397 Sm
0.397 0.397 0.809 Sm
0.397 0.809 0.397 Sm
0.558 0.558 0.942 Sm
0.558 0.942 0.558 Sm
0.558 0.942 0.942 Sm
0.809 0.397 0.397 Sm
0.813 0.187 0.187 Sm
0.813 0.187 0.813 Sm
0.813 0.813 0.187 Sm
0.942 0.558 0.558 Sm
0.942 0.558 0.942 Sm
0.942 0.942 0.558 Sm
0.171 0.171 0.171 Zn
0.171 0.171 0.486 Zn
0.171 0.486 0.171 Zn
0.486 0.171 0.171 Zn
0.179 0.607 0.607 Rh
0.607 0.179 0.607 Rh
0.607 0.607 0.179 Rh
0.607 0.607 0.607 Rh
```